(1)
A relaxed structure of Li2MnTlCl, computed with PBE.

Results
DOS at the Fermi energy = 3.67 states/eV per cell
Magnetization = 0.88 μB/atom
Theoretical density = 3.2 Mg/m³
Uncorrected energy = -2.979 eV/atom
Formation energy without anion corrections = 463.2 meV per atom
Calculated volume = 31.66 Å³/atom

a = 5.260 Å, b = 5.260 Å, c = 5.722 Å
α = 90.00°, β = 90.00°, γ = 90.00°
Space group P4/mmm (No. 123)
Unique sites:
1 Li 0.000 0.500 0.000
2 Mn 0.000 0.000 0.500
3 Tl 0.500 0.500 0.000
4 Cl 0.500 0.500 0.500

(2)
A relaxed structure of RbCdGaF6, computed with PBE.

Results
DOS at the Fermi energy = 0.00 states/eV per cell
Magnetization = 0.00 μB/atom
Theoretical density = 4.2 Mg/m³
Uncorrected energy = -4.365 eV/atom
Formation energy without anion corrections = -2572.1 meV per atom
Calculated volume = 16.90 Å³/atom

a = 7.609 Å, b = 7.680 Å, c = 10.412 Å
α = 90.00°, β = 90.00°, γ = 90.00°
Space group Imma (No. 74)
Unique sites:
1 Rb 0.000 0.250 0.143
2 Cd 0.250 0.250 0.750
3 Ga 0.000 0.000 0.500
4 F 0.000 0.250 0.496
5 F 0.000 0.250 0.857
6 F 0.177 0.005 0.630

(3)
A relaxed structure of Ta2MoSe, computed with PBE.

Results
DOS at the Fermi energy = 4.05 states/eV per cell
Magnetization = 0.00 μB/atom
Theoretical density = 12.8 Mg/m³
Uncorrected energy = -9.464 eV/atom
Formation energy without anion corrections = 40.8 meV per atom
Calculated volume = 17.44 Å³/atom

a = 3.306 Å, b = 3.306 Å, c = 6.384 Å
α = 90.00°, β = 90.00°, γ = 90.00°
Space group P4mm (No. 99)
Unique sites:
1 Ta 0.000 0.000 0.000
2 Ta 0.500 0.500 0.284
3 Mo 0.000 0.000 0.498
4 Se 0.500 0.500 0.787

(4)
A relaxed structure of NbGa2Mo, computed with PBE.

Results
DOS at the Fermi energy = 3.55 states/eV per cell
Magnetization = 0.00 μB/atom
Theoretical density = 8.5 Mg/m³
Relative energy among the computed polymorphs = 0 meV per atom
Uncorrected energy = -6.805 eV/atom
Calculated formation energy = -0.066 eV per atom
Calculated volume = 16.08 Å³/atom

a = 3.941 Å, b = 3.941 Å, c = 4.142 Å
α = 90.00°, β = 90.00°, γ = 90.00°
Space group P4/mmm (No. 123)
Unique sites:
1 Nb 0.000 0.000 0.000
2 Ga 0.000 0.500 0.500
3 Mo 0.500 0.500 0.000